Record 1
AsP2I | PBE | relaxed

a b c (Å): 6.994 6.994 6.500
angles (deg): 57.45 57.45 90.00
Element x y z (fractional)
I1 0.000 0.000 0.000
I2 0.750 0.250 0.500
P1 0.563 0.125 0.250
P2 0.187 0.625 0.250
P3 0.375 0.437 0.750
P4 0.875 0.813 0.750
As1 0.500 0.500 0.000
As2 0.250 0.750 0.500

Density of states at the Fermi level (states/eV per atom): 0.677
Distance to the lowest polymorph of the same formula (eV per atom): 0.000
Magnetic moment (μB per cell): 0.00
Formation energy without anion corrections (eV per formula unit): 2.30
DFT total energy (eV per atom): -3.6801

---

Record 2
BeRe2Se | PBE | relaxed

a b c (Å): 3.060 3.060 5.798
angles (deg): 90.00 90.00 90.00
Element x y z (fractional)
Re1 0.000 0.000 0.956
Re2 0.500 0.500 0.249
Se1 0.000 0.000 0.518
Be1 0.500 0.500 0.777

Density of states at the Fermi level (states/eV per atom): 0.487
Distance to the lowest polymorph of the same formula (eV per atom): 0.000
Magnetic moment (μB per cell): 0.00
Formation energy without anion corrections (eV per formula unit): 0.50
DFT total energy (eV per atom): -7.9021

---

Record 3
AgHg2F3 | PBE | relaxed

a b c (Å): 3.525 6.708 8.615
angles (deg): 90.00 90.00 90.00
Element x y z (fractional)
Ag1 0.000 0.962 0.814
Ag2 0.000 0.462 0.186
Hg1 0.000 0.967 0.164
Hg2 0.500 0.012 0.421
Hg3 0.000 0.467 0.836
Hg4 0.500 0.512 0.579
F1 0.500 0.326 0.022
F2 0.500 0.125 0.675
F3 0.000 0.308 0.442
F4 0.500 0.826 0.978
F5 0.500 0.625 0.325
F6 0.000 0.808 0.558

Density of states at the Fermi level (states/eV per atom): 0.000
Distance to the lowest polymorph of the same formula (eV per atom): 0.077
Magnetic moment (μB per cell): 0.00
Formation energy without anion corrections (eV per formula unit): -6.13
DFT total energy (eV per atom): -2.5328

---

Record 4
Er3P2Pt2Rh5 | PBE | relaxed

a b c (Å): 3.965 3.965 13.353
angles (deg): 98.54 98.54 90.00
Element x y z (fractional)
Er1 0.170 0.170 0.340
Er2 0.830 0.830 0.660
Er3 0.000 0.000 0.000
P1 0.372 0.372 0.744
P2 0.628 0.628 0.256
Pt1 0.718 0.718 0.435
Pt2 0.282 0.282 0.565
Rh1 0.583 0.083 0.165
Rh2 0.417 0.917 0.835
Rh3 0.083 0.583 0.165
Rh4 0.917 0.417 0.835
Rh5 0.500 0.500 0.000

Energy relative to the elements (eV per atom): -1.023
Density of states at the Fermi level (states/eV per atom): 0.542
Magnetic moment (μB per cell): 0.00
DFT total energy (eV per atom): -7.1353

---

Record 5
Zr4BeCo | PBE | relaxed

a b c (Å): 5.583 5.583 5.583
angles (deg): 60.00 60.00 60.00
Last column: magnetic moment on the atom in μB.
Element x y z (fractional)
Zr1 0.876 0.375 0.375  -0.02
Zr2 0.375 0.375 0.876  -0.02
Zr3 0.375 0.876 0.375  -0.02
Zr4 0.375 0.375 0.375  -0.02
Be1 0.750 0.750 0.750  0.01
Co1 0.000 0.000 0.000  1.60

Energy relative to the elements (eV per atom): 0.803
Density of states at the Fermi level (states/eV per atom): 1.281
Distance to the lowest polymorph of the same formula (eV per atom): 0.953
Magnetic moment (μB per cell): 1.36
DFT total energy (eV per atom): -6.7009

---

Record 6
Cd2Pd5Pt | PBE | relaxed

a b c (Å): 5.677 5.677 5.677
angles (deg): 119.17 119.17 91.45
Element x y z (fractional)
Cd1 0.278 0.778 0.500
Cd2 0.778 0.278 0.500
Pd1 0.278 0.278 0.500
Pd2 0.278 0.778 0.000
Pd3 0.778 0.278 0.000
Pd4 0.778 0.778 0.500
Pd5 0.278 0.278 0.000
Pt1 0.778 0.778 0.000

Energy relative to the elements (eV per atom): -0.231
Density of states at the Fermi level (states/eV per atom): 1.148
Magnetic moment (μB per cell): 0.00
DFT total energy (eV per atom): -4.4608

---

Record 7
Sr3PbN | PBE | relaxed

a b c (Å): 10.084 10.084 6.919
angles (deg): 90.00 90.00 131.07
Element x y z (fractional)
Pb1 0.158 0.842 0.250
Pb2 0.842 0.158 0.750
Sr1 0.057 0.424 0.250
Sr2 0.576 0.943 0.250
Sr3 0.424 0.057 0.750
Sr4 0.943 0.576 0.750
Sr5 0.000 0.000 0.000
Sr6 0.000 0.000 0.500
N1 0.279 0.721 0.250
N2 0.721 0.279 0.750

Density of states at the Fermi level (states/eV per atom): 0.919
Magnetic moment (μB per cell): 0.00
Formation energy without anion corrections (eV per formula unit): 0.75
DFT total energy (eV per atom): -3.2659

---

Record 8
TcOs2 | PBE | relaxed

a b c (Å): 5.076 5.076 5.076
angles (deg): 60.00 60.00 60.00
Element x y z (fractional)
Tc1 0.000 0.000 0.000
Tc2 0.250 0.250 0.250
Os1 0.625 0.625 0.625
Os2 0.125 0.625 0.625
Os3 0.625 0.125 0.625
Os4 0.625 0.625 0.125

Energy relative to the elements (eV per atom): 0.606
Density of states at the Fermi level (states/eV per atom): 1.613
Distance to the lowest polymorph of the same formula (eV per atom): 0.678
Magnetic moment (μB per cell): 0.00
DFT total energy (eV per atom): -10.3361